Entry 1:
# CdIn2Au

A geometry-optimized CdIn2Au structure (GGA-PBE, Alexandria via LeMat-Bulk).

```
data_CdIn2Au
_space_group_name_H-M_alt 'P 1'
_space_group_IT_number 1
_cell_length_a 9.267
_cell_length_b 9.267
_cell_length_c 9.267
_cell_angle_alpha 21.48
_cell_angle_beta 21.48
_cell_angle_gamma 21.48
loop_
_space_group_symop_operation_xyz
'x,y,z'
loop_
_atom_site_label
_atom_site_fract_x
_atom_site_fract_y
_atom_site_fract_z
Au1 0.250 0.250 0.250
In1 0.994 0.994 0.994
In2 0.506 0.506 0.506
Cd1 0.750 0.750 0.750
```

Density: 9.58 Mg/m³
Formation enthalpy at 0 K: -0.080 eV/atom
Crystal system: trigonal
VASP energy: -2.50 eV/atom
Density of states at the Fermi level: 1.36 states/eV/f.u.


Entry 2:
# RbCeAg2Cl6

A geometry-optimized RbCeAg2Cl6 structure (GGA-PBE, Alexandria via LeMat-Bulk).

```
data_RbCeAg2Cl6
_space_group_name_H-M_alt 'P 1'
_space_group_IT_number 1
_cell_length_a 7.493
_cell_length_b 7.493
_cell_length_c 7.888
_cell_angle_alpha 90.00
_cell_angle_beta 118.36
_cell_angle_gamma 120.00
loop_
_space_group_symop_operation_xyz
'x,y,z'
loop_
_atom_site_label
_atom_site_fract_x
_atom_site_fract_y
_atom_site_fract_z
Cl1 0.115 0.168 0.708
Cl2 0.554 0.946 0.708
Ce1 0.004 0.001 0.991
Cl3 0.172 0.400 0.201
Rb1 0.998 0.498 0.482
Ag1 0.591 0.795 0.371
Cl4 0.777 0.608 0.708
Cl5 0.816 0.771 0.201
Ag2 0.496 0.248 0.730
Cl6 0.444 0.044 0.201
```

Formation energy without anion corrections: -14.4 eV per formula unit
Density: 3.39 Mg/m³
Crystal system: trigonal
VASP energy: -3.81 eV/atom
Density of states at the Fermi level: 8.27 states/eV/f.u.


Entry 3:
# Pr2PaAsO8

A geometry-optimized Pr2PaAsO8 structure (GGA-PBE, Alexandria via LeMat-Bulk).

```
data_Pr2PaAsO8
_space_group_name_H-M_alt 'P 1'
_space_group_IT_number 1
_cell_length_a 5.128
_cell_length_b 5.133
_cell_length_c 6.856
_cell_angle_alpha 90.01
_cell_angle_beta 89.98
_cell_angle_gamma 91.93
loop_
_space_group_symop_operation_xyz
'x,y,z'
loop_
_atom_site_label
_atom_site_fract_x
_atom_site_fract_y
_atom_site_fract_z
O1 0.705 0.706 0.501
As1 0.000 0.000 0.000
Pa1 0.000 0.000 0.500
O2 0.253 0.253 0.001
O3 0.295 0.294 0.499
O4 0.829 0.172 0.779
O5 0.747 0.747 0.999
Pr1 0.501 0.501 0.235
O6 0.172 0.829 0.779
Pr2 0.499 0.499 0.765
O7 0.171 0.828 0.221
O8 0.828 0.171 0.221
```

Formation energy without anion corrections: -32.2 eV per formula unit
Density: 6.59 Mg/m³
Crystal system: monoclinic
VASP energy: -7.96 eV/atom
Density of states at the Fermi level: 0.00 states/eV/f.u.